! Ca2Zn5Ga3 | Alexandria | PBE-GGA | optimized geometry; values from VASP
! Formation energy from the elements   -0.319 eV/atom
! M_tot   0.0 μB/f.u.
! Total DFT energy (no corrections)   -2.264 eV/atom
&SYSTEM
  ibrav = 0, nat = 20, ntyp = 3
/
ATOMIC_SPECIES
Ca 40.08 Ca.upf
Zn 65.41 Zn.upf
Ga 69.72 Ga.upf
ATOMIC_POSITIONS angstrom
Ca 2.9719 5.1716 0.7908
Ca 5.9437 1.5790 4.9877
Ca 8.9156 3.8076 6.8955
Ca 5.9437 7.4002 2.6985
Zn 5.9437 3.0154 7.8547
Zn 8.9156 8.2258 1.7678
Zn 5.9437 5.9638 -0.1685
Zn 2.9719 0.7534 5.9184
Zn 7.4297 6.7349 5.7650
Zn 4.4578 2.2444 1.9212
Zn 7.4297 4.4896 3.8431
Zn 4.4578 4.4896 3.8431
Zn 1.4859 2.2444 1.9212
Zn 10.4015 6.7349 5.7650
Ga 5.9437 4.6390 5.9685
Ga 8.9156 6.6126 3.6629
Ga 5.9437 4.3403 1.7177
Ga 2.9719 2.3666 4.0234
Ga 1.4859 0.0000 0.0000
Ga 4.4578 0.0000 0.0000
CELL_PARAMETERS angstrom
5.9437 0.0000 0.0000
2.9719 8.0735 -0.3437
2.9719 0.9057 8.0299

---

! MoIBr2 | Alexandria | PBE-GGA | optimized geometry; values from VASP
! Formation energy (no corrections)   841 meV per atom
! M_tot   3.0 μB/f.u.
! Total DFT energy (no corrections)   -3.091 eV/atom
&SYSTEM
  ibrav = 0, nat = 4, ntyp = 3
/
ATOMIC_SPECIES
I 126.90 I.upf
Mo 95.94 Mo.upf
Br 79.90 Br.upf
ATOMIC_POSITIONS angstrom
I 3.7450 3.7450 3.7450
Mo 0.0000 0.0000 0.0000
Br 1.8725 1.8725 1.8725
Br 5.6175 5.6175 5.6175
CELL_PARAMETERS angstrom
0.0000 3.7450 3.7450
3.7450 0.0000 3.7450
3.7450 3.7450 0.0000

---

! ScTcBi3 | Alexandria | PBE-GGA | optimized geometry; values from VASP
! Formation energy from the elements   0.581 eV/atom
! M_tot   0.0 μB/f.u.
! Total DFT energy (no corrections)   -5.087 eV/atom
&SYSTEM
  ibrav = 0, nat = 5, ntyp = 3
/
ATOMIC_SPECIES
Sc 44.96 Sc.upf
Bi 208.98 Bi.upf
Tc 98.00 Tc.upf
ATOMIC_POSITIONS angstrom
Sc -2.7631 -3.3911 -1.4805
Bi -0.0781 -0.9447 -2.4920
Bi -0.0200 -2.4928 0.9456
Bi -2.6650 0.0464 0.0659
Tc 0.0000 0.0000 0.0000
CELL_PARAMETERS angstrom
-5.3300 0.0929 0.1319
-0.1562 -1.8894 -4.9840
-0.0401 -4.9856 1.8913

---

! BaTl2In2 | Alexandria | PBE-GGA | optimized geometry; values from VASP
! Formation energy from the elements   -0.286 eV/atom
! M_tot   0.0 μB/f.u.
! Total DFT energy (no corrections)   -2.712 eV/atom
&SYSTEM
  ibrav = 0, nat = 5, ntyp = 3
/
ATOMIC_SPECIES
Tl 204.38 Tl.upf
Ba 137.33 Ba.upf
In 114.82 In.upf
ATOMIC_POSITIONS angstrom
Tl -5.1551 2.5234 -3.2316
Tl -6.5236 -0.0219 -0.9096
Ba 0.0000 0.0000 0.0000
In -3.5896 0.4262 -1.6484
In -8.0891 2.0752 -2.4928
CELL_PARAMETERS angstrom
-1.4666 1.9578 -4.6370
-4.2036 -3.1328 0.0069
-6.0084 3.6765 0.4889

---

! Rb3ZrRu | Alexandria | PBE-GGA | optimized geometry; values from VASP
! Formation energy from the elements   1.929 eV/atom
! M_tot   0.0 μB/f.u.
! Total DFT energy (no corrections)   -2.217 eV/atom
&SYSTEM
  ibrav = 0, nat = 5, ntyp = 3
/
ATOMIC_SPECIES
Ru 101.07 Ru.upf
Rb 85.47 Rb.upf
Zr 91.22 Zr.upf
ATOMIC_POSITIONS angstrom
Ru 0.0000 0.0000 0.0000
Rb -1.7801 -1.3564 2.0222
Rb 1.2240 1.6669 2.1957
Rb -2.1049 2.1164 -0.4333
Zr -2.6610 2.4269 3.7845
CELL_PARAMETERS angstrom
-4.2099 4.2329 -0.8667
-3.5602 -2.7129 4.0443
2.4480 3.3339 4.3913

---

! PuPaSe2 | Alexandria | PBE-GGA | optimized geometry; values from VASP
! Formation energy (no corrections)   -820 meV per atom
! M_tot   8.0 μB/f.u.
! Total DFT energy (no corrections)   -8.519 eV/atom
&SYSTEM
  ibrav = 0, nat = 4, ntyp = 3
/
ATOMIC_SPECIES
Pa 231.04 Pa.upf
Se 78.96 Se.upf
Pu 244.00 Pu.upf
ATOMIC_POSITIONS angstrom
Pa 3.9243 2.2657 4.6530
Se 1.9622 1.1329 6.4274
Se 5.8865 3.3986 2.8787
Pu 0.0000 0.0000 0.0000
CELL_PARAMETERS angstrom
3.9243 0.0000 0.0000
1.9622 3.3986 0.0000
1.9622 1.1329 9.3061

---

! HfV2RhN | Alexandria | PBE-GGA | optimized geometry; values from VASP
! Formation energy (no corrections)   1595 meV per atom
! M_tot   0.0 μB/f.u.
! Total DFT energy (no corrections)   -7.179 eV/atom
&SYSTEM
  ibrav = 0, nat = 5, ntyp = 4
/
ATOMIC_SPECIES
Rh 102.91 Rh.upf
N 14.01 N.upf
Hf 178.49 Hf.upf
V 50.94 V.upf
ATOMIC_POSITIONS angstrom
Rh 2.3915 1.9799 2.3915
N 0.0000 1.9799 0.0000
Hf 0.0000 0.0000 0.0000
V 0.0000 0.0000 2.3915
V 2.3915 0.0000 0.0000
CELL_PARAMETERS angstrom
4.7830 0.0000 0.0000
0.0000 3.9598 0.0000
0.0000 0.0000 4.7830

---

! Be4Au | Alexandria | PBE-GGA | optimized geometry; values from VASP
! Formation energy from the elements   0.920 eV/atom
! M_tot   0.0 μB/f.u.
! Total DFT energy (no corrections)   -2.716 eV/atom
&SYSTEM
  ibrav = 0, nat = 5, ntyp = 2
/
ATOMIC_SPECIES
Be 9.01 Be.upf
Au 196.97 Au.upf
ATOMIC_POSITIONS angstrom
Be 0.0000 0.0000 0.0000
Be 2.1537 0.0000 2.1537
Be 0.0000 2.1537 2.1537
Be 2.1537 2.1537 0.0000
Au 2.1537 2.1537 2.1537
CELL_PARAMETERS angstrom
4.3073 0.0000 0.0000
0.0000 4.3073 0.0000
0.0000 0.0000 4.3073

---

! InHgRh2 | Alexandria | PBE-GGA | optimized geometry; values from VASP
! Formation energy from the elements   0.026 eV/atom
! M_tot   0.1 μB/f.u.
! Total DFT energy (no corrections)   -4.410 eV/atom
&SYSTEM
  ibrav = 0, nat = 4, ntyp = 3
/
ATOMIC_SPECIES
In 114.82 In.upf
Hg 200.59 Hg.upf
Rh 102.91 Rh.upf
ATOMIC_POSITIONS angstrom
In 0.0000 2.3118 2.6075
Hg 0.0000 0.0000 4.8600
Rh 0.0000 0.0000 0.0220
Rh 1.5447 0.0000 2.3513
CELL_PARAMETERS angstrom
-1.5447 2.3118 4.9204
1.5447 -2.3118 4.9204
1.5447 2.3118 -4.9204

---

! CoSiSe2 | Alexandria | PBE-GGA | optimized geometry; values from VASP
! Formation energy (no corrections)   467 meV per atom
! M_tot   0.6 μB/f.u.
! Total DFT energy (no corrections)   -4.407 eV/atom
&SYSTEM
  ibrav = 0, nat = 4, ntyp = 3
/
ATOMIC_SPECIES
Co 58.93 Co.upf
Se 78.96 Se.upf
Si 28.09 Si.upf
ATOMIC_POSITIONS angstrom
Co 1.5503 0.0000 2.2684
Se 0.0000 0.0000 0.0000
Se 0.0000 2.2684 2.2684
Si 1.5503 2.2684 0.0000
CELL_PARAMETERS angstrom
3.1005 0.0000 0.0000
0.0000 4.5369 0.0000
0.0000 0.0000 4.5369

---

! CeHo12Er7 | Alexandria | PBE-GGA | optimized geometry; values from VASP
! Formation energy from the elements   0.746 eV/atom
! M_tot   1.4 μB/f.u.
! Total DFT energy (no corrections)   -3.894 eV/atom
&SYSTEM
  ibrav = 0, nat = 20, ntyp = 3
/
ATOMIC_SPECIES
Ce 140.12 Ce.upf
Ho 164.93 Ho.upf
Er 167.26 Er.upf
ATOMIC_POSITIONS angstrom
Ce 0.0000 0.0000 0.0000
Ho 1.0089 5.8923 3.2515
Ho -3.4019 5.8923 0.1326
Ho 3.5894 2.0723 0.0000
Ho 8.0002 2.0723 3.1189
Ho 2.2054 7.9646 -3.1189
Ho 4.5984 3.8199 3.2516
Ho 2.3930 0.0000 6.3705
Ho 0.0000 4.1447 0.0000
Ho 3.4019 5.8922 -0.1326
Ho 1.1965 2.0724 3.3842
Ho 5.6073 2.0724 -3.2515
Ho -1.0089 5.8922 6.5031
Er 2.2992 3.9823 -3.2515
Er -2.2992 3.9823 3.2515
Er 4.5984 0.0000 3.2515
Er 2.2992 3.9823 1.6258
Er 0.0000 0.0000 4.8773
Er 4.5984 0.0000 -1.6258
Er -2.2992 3.9823 -1.6258
CELL_PARAMETERS angstrom
9.1967 0.0000 -3.2515
-4.5984 7.9646 -3.2515
0.0000 0.0000 9.7546